(1)
A plane-wave DFT calculation with GGA-PBE was carried out for a geometry-optimized Ca2ScReO6 structure.

abc: 5.401 5.401 4.862
angles: 90.00 90.00 90.00
Fractional coordinates of all 10 atoms:
Ca  0.000  0.500  0.000
Ca  0.500  0.000  0.000
Sc  0.000  0.000  0.591
Re  0.500  0.500  0.567
O  0.000  0.000  0.194
O  0.262  0.262  0.723
O  0.262  0.738  0.723
O  0.500  0.500  0.206
O  0.738  0.262  0.723
O  0.738  0.738  0.723

Results
* crystal system: tetragonal
* total moment: 0.00 μB per formula unit
* energy: -77.25 eV for the cell shown
* SG: No. 99


(2)
A plane-wave DFT calculation with GGA-PBE was carried out for a geometry-optimized CaSm2ReO8 structure.

abc: 5.111 5.111 7.049
angles: 90.00 90.00 90.73
Fractional coordinates of all 12 atoms:
Ca  0.000  0.000  0.000
Sm  0.500  0.500  0.249
Sm  0.500  0.500  0.751
Re  0.000  0.000  0.500
O  0.179  0.821  0.306
O  0.179  0.821  0.694
O  0.267  0.267  0.500
O  0.310  0.310  0.000
O  0.690  0.690  0.000
O  0.733  0.733  0.500
O  0.821  0.179  0.306
O  0.821  0.179  0.694

Results
* crystal system: orthorhombic
* total moment: 1.08 μB per formula unit
* energy: -92.77 eV for the cell shown
* SG: No. 65


(3)
A plane-wave DFT calculation with GGA-PBE was carried out for a geometry-optimized Ca2SmReO6 structure.

abc: 5.607 5.607 5.074
angles: 90.00 90.00 90.00
Fractional coordinates of all 10 atoms:
Ca  0.000  0.500  0.000
Ca  0.500  0.000  0.000
Sm  0.000  0.000  0.600
Re  0.500  0.500  0.599
O  0.000  0.000  0.170
O  0.272  0.272  0.752
O  0.272  0.728  0.752
O  0.500  0.500  0.253
O  0.728  0.272  0.752
O  0.728  0.728  0.752

Results
* crystal system: tetragonal
* total moment: 0.00 μB per formula unit
* energy: -75.08 eV for the cell shown
* SG: No. 99


(4)
A plane-wave DFT calculation with GGA-PBE was carried out for a geometry-optimized CaReSnO6 structure.

abc: 5.382 5.382 9.944
angles: 90.00 90.00 120.00
Fractional coordinates of all 18 atoms:
Ca  0.000  0.000  0.000
Ca  0.000  0.000  0.500
Re  0.333  0.667  0.250
Re  0.667  0.333  0.750
Sn  0.333  0.667  0.750
Sn  0.667  0.333  0.250
O  0.024  0.379  0.141
O  0.024  0.645  0.359
O  0.355  0.379  0.359
O  0.355  0.976  0.141
O  0.379  0.024  0.641
O  0.379  0.355  0.859
O  0.621  0.645  0.141
O  0.621  0.976  0.359
O  0.645  0.024  0.859
O  0.645  0.621  0.641
O  0.976  0.355  0.641
O  0.976  0.621  0.859

Results
* crystal system: trigonal
* total moment: 0.81 μB per formula unit
* energy: -130.55 eV for the cell shown
* SG: No. 163


(5)
A plane-wave DFT calculation with GGA-PBE was carried out for a geometry-optimized SrCa2ReO6 structure.

abc: 6.050 6.050 6.050
angles: 57.12 57.12 57.12
Fractional coordinates of all 10 atoms:
Sr  0.000  0.000  0.000
Ca  0.218  0.218  0.218
Ca  0.724  0.724  0.724
Re  0.515  0.515  0.515
O  0.181  0.416  0.750
O  0.334  0.862  0.600
O  0.416  0.750  0.181
O  0.600  0.334  0.862
O  0.750  0.181  0.416
O  0.862  0.600  0.334

Results
* crystal system: trigonal
* total moment: 1.01 μB per formula unit
* energy: -72.20 eV for the cell shown
* SG: No. 146


(6)
A plane-wave DFT calculation with GGA-PBE was carried out for a geometry-optimized SrCaReO6 structure.

abc: 5.721 5.721 5.150
angles: 90.71 90.71 121.62
Fractional coordinates of all 9 atoms:
Sr  0.000  0.000  0.000
Ca  0.672  0.328  0.500
Re  0.352  0.648  0.500
O  0.051  0.377  0.301
O  0.074  0.697  0.687
O  0.303  0.926  0.313
O  0.344  0.399  0.724
O  0.601  0.656  0.276
O  0.623  0.949  0.699

Results
* crystal system: monoclinic
* total moment: 1.04 μB per formula unit
* energy: -64.88 eV for the cell shown
* SG: No. 5


(7)
A plane-wave DFT calculation with GGA-PBE was carried out for a geometry-optimized SrCaRe2O8 structure.

abc: 5.960 5.960 7.215
angles: 90.00 90.00 120.00
Fractional coordinates of all 12 atoms:
Sr  0.000  0.000  0.000
Ca  0.000  0.000  0.500
Re  0.333  0.667  0.795
Re  0.667  0.333  0.205
O  0.165  0.331  0.722
O  0.165  0.835  0.722
O  0.331  0.165  0.278
O  0.333  0.667  0.042
O  0.667  0.333  0.958
O  0.669  0.835  0.722
O  0.835  0.165  0.278
O  0.835  0.669  0.278

Results
* crystal system: trigonal
* total moment: 2.01 μB per formula unit
* energy: -92.72 eV for the cell shown
* SG: No. 164


(8)
A plane-wave DFT calculation with GGA-PBE was carried out for a geometry-optimized Ca2TbReO6 structure.

abc: 5.576 5.576 4.963
angles: 90.00 90.00 90.00
Fractional coordinates of all 10 atoms:
Ca  0.000  0.500  0.000
Ca  0.500  0.000  0.000
Tb  0.000  0.000  0.602
Re  0.500  0.500  0.588
O  0.000  0.000  0.170
O  0.270  0.270  0.742
O  0.270  0.730  0.742
O  0.500  0.500  0.234
O  0.730  0.270  0.742
O  0.730  0.730  0.742

Results
* crystal system: tetragonal
* total moment: 0.00 μB per formula unit
* energy: -75.36 eV for the cell shown
* SG: No. 99


Number 1: raw formation energy -2.4719 eV/atom. Number 2: raw formation energy -2.4343 eV/atom. Number 3: raw formation energy -2.4162 eV/atom. Number 4: raw formation energy -1.8973 eV/atom. Number 5: raw formation energy -2.4321 eV/atom. Number 6: raw formation energy -2.1112 eV/atom. Number 7: raw formation energy -2.0398 eV/atom. Number 8: raw formation energy -2.4534 eV/atom.